[1]
## Ba2Li2HoS4 (GGA-PBE)

Data for Ba2Li2HoS4 after structural relaxation.

Computed properties:
ρ	4.63	Mg/m³
Fermi-level density of states	3.89	states/eV/cell
total moment	0.0003	μB/atom
E_form (uncorrected)	-1.72	eV per atom

a = 7.722 Å, b = 7.722 Å, c = 7.338 Å
α = 109.36°, β = 109.36°, γ = 30.52°
Atoms (fractional coordinates):
Ba 0.134 0.134 0.057
Ba 0.866 0.866 0.943
Li 0.320 0.320 0.507
Li 0.680 0.680 0.493
Ho 0.000 0.000 0.500
S 0.201 0.201 0.684
S 0.481 0.481 0.742
S 0.519 0.519 0.258
S 0.799 0.799 0.316

=====

[2]
## Tc2Os (GGA-PBE)

Data for Tc2Os after structural relaxation.

Computed properties:
energy above the most stable polymorph in this dataset	507	meV per atom
ρ	13.62	Mg/m³
Fermi-level density of states	11.14	states/eV/cell
energy of formation	0.443	eV per atom
total moment	0.0000	μB/atom

a = 6.423 Å, b = 6.423 Å, c = 3.954 Å
α = 90.00°, β = 90.00°, γ = 120.00°
Atoms (fractional coordinates):
Tc 0.000 0.254 0.000
Tc 0.000 0.600 0.500
Tc 0.254 0.000 0.000
Tc 0.400 0.400 0.500
Tc 0.600 0.000 0.500
Tc 0.746 0.746 0.000
Os 0.000 0.000 0.500
Os 0.333 0.667 0.000
Os 0.667 0.333 0.000

=====

[3]
## PmB2Pt6 (GGA-PBE)

Data for PmB2Pt6 after structural relaxation.

Computed properties:
energy above the most stable polymorph in this dataset	0	meV per atom
ρ	14.54	Mg/m³
Fermi-level density of states	2.64	states/eV/cell
energy of formation	-0.698	eV per atom
total moment	0.0000	μB/atom

a = 5.632 Å, b = 5.632 Å, c = 5.559 Å
α = 90.00°, β = 90.00°, γ = 120.00°
Atoms (fractional coordinates):
Pm 0.000 0.000 0.000
B 0.333 0.667 0.500
B 0.667 0.333 0.500
Pt 0.000 0.500 0.246
Pt 0.000 0.500 0.754
Pt 0.500 0.000 0.246
Pt 0.500 0.000 0.754
Pt 0.500 0.500 0.246
Pt 0.500 0.500 0.754

=====

[4]
## HfGaP2 (GGA-PBE)

Data for HfGaP2 after structural relaxation.

Computed properties:
ρ	7.02	Mg/m³
Fermi-level density of states	1.29	states/eV/cell
energy of formation	-0.545	eV per atom
total moment	0.0000	μB/atom

a = 6.805 Å, b = 6.805 Å, c = 6.805 Å
α = 30.83°, β = 30.83°, γ = 30.83°
Atoms (fractional coordinates):
Hf 0.000 0.000 0.000
Ga 0.500 0.500 0.500
P 0.251 0.251 0.251
P 0.749 0.749 0.749